(1)
## CuTe2Os (GGA-PBE)

Data for a relaxed structure of CuTe2Os.

Properties
**Distance to the lowest polymorph of the same formula**: 0.791 eV/atom
**Space group**: F-43m (216)

Cell: 6.774 6.774 6.774 Å, 90.00 90.00 90.00°
Fractional coordinates of all 16 atoms:
Cu 0.000 0.000 0.000
Cu 0.000 0.500 0.500
Cu 0.500 0.000 0.500
Cu 0.500 0.500 0.000
Te 0.000 0.000 0.500
Te 0.000 0.500 0.000
Te 0.250 0.250 0.250
Te 0.250 0.750 0.750
Te 0.500 0.000 0.000
Te 0.500 0.500 0.500
Te 0.750 0.250 0.750
Te 0.750 0.750 0.250
Os 0.250 0.250 0.750
Os 0.250 0.750 0.250
Os 0.750 0.250 0.250
Os 0.750 0.750 0.750



(2)
## Cu2TeOs (GGA-PBE)

Data for a relaxed structure of Cu2TeOs.

Properties
**Space group**: P4/mmm (123)

Cell: 2.877 2.877 8.533 Å, 90.00 90.00 90.00°
Fractional coordinates of all 4 atoms:
Cu 0.000 0.000 0.193
Cu 0.000 0.000 0.807
Te 0.500 0.500 0.500
Os 0.500 0.500 0.000



(3)
## Cu4TeOs (GGA-PBE)

Data for a relaxed structure of Cu4TeOs.

Properties
**Space group**: F-43m (216)

Cell: 4.918 4.918 4.918 Å, 60.00 60.00 60.00°
Fractional coordinates of all 6 atoms:
Cu 0.124 0.124 0.124
Cu 0.124 0.124 0.628
Cu 0.124 0.628 0.124
Cu 0.628 0.124 0.124
Te 0.500 0.500 0.500
Os 0.750 0.750 0.750



(4)
## CuTeOs2 (GGA-PBE)

Data for a relaxed structure of CuTeOs2.

Properties
**Space group**: I-4m2 (119)

Cell: 4.012 4.012 7.797 Å, 90.00 90.00 90.00°
Fractional coordinates of all 8 atoms:
Cu 0.000 0.000 0.000
Cu 0.500 0.500 0.500
Te 0.000 0.500 0.250
Te 0.500 0.000 0.750
Os 0.000 0.000 0.500
Os 0.000 0.500 0.750
Os 0.500 0.000 0.250
Os 0.500 0.500 0.000



(5)
## CuTe2Os (GGA-PBE)

Data for a relaxed structure of CuTe2Os.

Properties
**Distance to the lowest polymorph of the same formula**: 0.086 eV/atom
**Space group**: C2/m (12)

Cell: 6.810 3.812 6.859 Å, 90.00 108.06 90.00°
Fractional coordinates of all 8 atoms:
Cu 0.000 0.000 0.000
Cu 0.500 0.500 0.000
Te 0.244 0.000 0.731
Te 0.256 0.500 0.269
Te 0.744 0.500 0.731
Te 0.756 0.000 0.269
Os 0.000 0.500 0.500
Os 0.500 0.000 0.500



(6)
## CuTe2Os (GGA-PBE)

Data for a relaxed structure of CuTe2Os.

Properties
**Distance to the lowest polymorph of the same formula**: 0.228 eV/atom
**Space group**: Imm2 (44)

Cell: 3.186 4.178 12.711 Å, 90.00 90.00 90.00°
Fractional coordinates of all 8 atoms:
Cu 0.000 0.000 0.000
Cu 0.500 0.500 0.500
Te 0.000 0.000 0.375
Te 0.000 0.500 0.138
Te 0.500 0.000 0.638
Te 0.500 0.500 0.875
Os 0.000 0.500 0.704
Os 0.500 0.000 0.204



(7)
## CuTeOs2 (GGA-PBE)

Data for a relaxed structure of CuTeOs2.

Properties
**Space group**: Pm (6)

Cell: 2.824 3.576 7.083 Å, 90.00 90.12 90.00°
Fractional coordinates of all 4 atoms:
Cu 0.000 0.000 0.000
Te 0.998 0.500 0.303
Os 0.498 0.500 0.784
Os 0.998 0.000 0.618



(8)
## CuTeOs (GGA-PBE)

Data for a relaxed structure of CuTeOs.

Properties
**Distance to the lowest polymorph of the same formula**: 0.000 eV/atom
**Space group**: F-43m (216)

Cell: 6.095 6.095 6.095 Å, 90.00 90.00 90.00°
Fractional coordinates of all 12 atoms:
Cu 0.000 0.000 0.000
Cu 0.000 0.500 0.500
Cu 0.500 0.000 0.500
Cu 0.500 0.500 0.000
Te 0.000 0.000 0.500
Te 0.000 0.500 0.000
Te 0.500 0.000 0.000
Te 0.500 0.500 0.500
Os 0.250 0.250 0.250
Os 0.250 0.750 0.750
Os 0.750 0.250 0.750
Os 0.750 0.750 0.250



(9)
## Th6CuTe3Os2 (GGA-PBE)

Data for a relaxed structure of Th6CuTe3Os2.

Properties
**Space group**: C2/m (12)

Cell: 7.275 7.275 8.085 Å, 98.62 98.62 119.95°
Fractional coordinates of all 12 atoms:
Th 0.086 0.432 0.796
Th 0.222 0.222 0.202
Th 0.432 0.086 0.796
Th 0.568 0.914 0.204
Th 0.778 0.778 0.798
Th 0.914 0.568 0.204
Cu 0.500 0.500 0.000
Te 0.000 0.000 0.500
Te 0.336 0.664 0.500
Te 0.664 0.336 0.500
Os 0.167 0.833 0.000
Os 0.833 0.167 0.000



(10)
## Th8CuTe4Os3 (GGA-PBE)

Data for a relaxed structure of Th8CuTe4Os3.

Properties
**Space group**: R-3m (166)

Cell: 9.101 9.101 9.101 Å, 55.00 55.00 55.00°
Fractional coordinates of all 16 atoms:
Th 0.224 0.739 0.739
Th 0.234 0.234 0.234
Th 0.261 0.261 0.776
Th 0.261 0.776 0.261
Th 0.739 0.224 0.739
Th 0.739 0.739 0.224
Th 0.766 0.766 0.766
Th 0.776 0.261 0.261
Cu 0.500 0.500 0.500
Te 0.000 0.000 0.000
Te 0.000 0.500 0.500
Te 0.500 0.000 0.500
Te 0.500 0.500 0.000
Os 0.000 0.000 0.500
Os 0.000 0.500 0.000
Os 0.500 0.000 0.000



(11)
## Tl2CuTeOs (GGA-PBE)

Data for a relaxed structure of Tl2CuTeOs.

Properties
**Space group**: P4/mmm (123)

Cell: 5.340 5.340 4.836 Å, 90.00 90.00 90.00°
Fractional coordinates of all 5 atoms:
Tl 0.000 0.500 0.000
Tl 0.500 0.000 0.000
Cu 0.000 0.000 0.500
Te 0.500 0.500 0.500
Os 0.000 0.000 0.000



(12)
## VCu2TeOs (GGA-PBE)

Data for a relaxed structure of VCu2TeOs.

Properties
**Space group**: P4/mmm (123)

Cell: 4.628 4.628 4.453 Å, 90.00 90.00 90.00°
Fractional coordinates of all 5 atoms:
V 0.000 0.000 0.000
Cu 0.000 0.500 0.000
Cu 0.500 0.000 0.000
Te 0.500 0.500 0.500
Os 0.000 0.000 0.500



We obtain uncorrected formation energy values of 4.4; 2.8; 2.7; 3.3; 1.6; 2.2; 2.1; 1.5; -9.1; -12.4; 4.1; 6.3 eV per formula unit for the records listed above, in that order.
We obtain size of the total moment values of 0.0; 1.2; 0.0; 0.0; 0.0; 0.0; 0.0; 0.0; 0.0; 0.0; 1.5; 0.0 μB/f.u. for the records listed above, in that order.
We obtain VASP energy values of -4.30; -4.95; -4.67; -6.60; -5.01; -4.86; -6.89; -5.65; -7.47; -7.63; -3.82; -5.07 eV per atom for the records listed above, in that order.